No. 1
Cu2IrW | PBE | relaxed

```
Cu2IrW
1.0
4.692 -0.003 0.007
3.886 2.629 0.007
0.767 0.235 4.517
Cu Ir W
2 1 1
Direct
0.001 0.001 0.003 Cu
0.499 0.499 0.497 Cu
0.750 0.750 0.750 Ir
0.250 0.250 0.250 W
```

Summary:
VASP energy   -7.364 eV per atom
Formation energy from the elements   0.138 eV/atom
E above lowest polymorph   7.4 kJ/mol of atoms
Space-group type   C2/m, No. 12

***

No. 2
Cu2IrW | PBE | relaxed

```
Cu2IrW
1.0
2.678 -0.013 0.000
-1.108 2.438 0.000
0.000 0.000 8.749
Cu Ir W
2 1 1
Direct
0.500 0.500 0.241 Cu
0.000 0.000 0.009 Cu
0.000 0.000 0.497 Ir
0.500 0.500 0.752 W
```

Summary:
VASP energy   -7.282 eV per atom
Formation energy from the elements   0.219 eV/atom
E above lowest polymorph   15.3 kJ/mol of atoms
Space-group type   Cmm2, No. 35

***

No. 3
Cu2IrW | PBE | relaxed

```
Cu2IrW
1.0
-4.009 1.235 0.883
-3.065 -2.936 0.595
-1.626 -0.638 3.915
Ir Cu W
1 2 1
Direct
0.500 0.500 0.500 Ir
0.000 0.000 0.000 Cu
0.250 0.250 0.250 Cu
0.750 0.750 0.750 W
```

Summary:
VASP energy   -7.331 eV per atom
Formation energy from the elements   0.171 eV/atom
E above lowest polymorph   10.6 kJ/mol of atoms
Space-group type   F-43m, No. 216

***

- Which of these has the lowest E above lowest polymorph?
  number 1